Record 1
{
  "formula": "TlOs3",
  "functional": "GGA-PBEsol",
  "state": "optimized geometry",
  "lattice": [[2.784, 0.000, 0.000], [0.000, 4.601, 0.000], [0.000, 0.000, 10.225]],
  "species": ["Tl", "Tl", "Os", "Os", "Os", "Os", "Os", "Os"],
  "frac_coords": [[0.000, 0.000, 0.000], [0.500, 0.500, 0.500], [0.000, 0.000, 0.500], [0.000, 0.500, 0.219], [0.000, 0.500, 0.781], [0.500, 0.000, 0.281], [0.500, 0.000, 0.719], [0.500, 0.500, 0.000]],
  "e_tot_ha_per_atom": -0.324,
  "total_magnetization_mub_per_cell": 0.00,
  "relative_energy_mev_per_atom": 347.4,
  "volume_a3_per_cell": 131.0,
  "formation_enthalpy_0k_ev_per_atom": 0.99
}



Record 2
{
  "formula": "MgScMo2",
  "functional": "GGA-PBEsol",
  "state": "optimized geometry",
  "lattice": [[2.707, 0.000, 0.000], [0.000, 2.707, 0.000], [0.000, 0.000, 9.341]],
  "species": ["Mg", "Sc", "Mo", "Mo"],
  "frac_coords": [[0.000, 0.000, 0.000], [0.000, 0.000, 0.500], [0.500, 0.500, 0.246], [0.500, 0.500, 0.754]],
  "e_tot_ha_per_atom": -0.281,
  "total_magnetization_mub_per_cell": 0.00,
  "volume_a3_per_cell": 68.4,
  "formation_enthalpy_0k_ev_per_atom": 0.32
}